A plane-wave DFT calculation with PBE-GGA was carried out for a geometry-optimized KSn2Pt structure.

Mass density = 7.66 Mg/m³
Space-group type = P4/mmm, No. 123
VASP energy = -16.50 eV/cell

Cell: 3.443 3.443 8.623 Å, 90.00 90.00 90.00°
Positions (direct):
K 0.500 0.500 0.500
Sn 0.000 0.000 0.816
Sn 0.000 0.000 0.184
Pt 0.500 0.500 0.000